[1]
Computed, not measured: a relaxed structure of Ba2GaRh2 at the GGA-PBEsol level of DFT.

## Properties
The formation energy is -0.9 kcal/mol of atoms.

Cell and atoms, written as CIF:
```
data_Ba2GaRh2
_chemical_formula_sum 'Ba4 Ga2 Rh4'
_space_group_name_H-M_alt 'I 4/m m m'
_space_group_IT_number 139
_space_group_name_Hall '-I 4 2'
_cell_length_a 6.025
_cell_length_b 6.025
_cell_length_c 7.403
_cell_angle_alpha 90.00
_cell_angle_beta 90.00
_cell_angle_gamma 90.00
loop_
_atom_site_label
_atom_site_fract_x
_atom_site_fract_y
_atom_site_fract_z
Ba1 0.000 0.500 0.250
Ga1 0.000 0.000 0.000
Rh1 0.000 0.000 0.320
```

[2]
Computed, not measured: a relaxed structure of BaGa3Ru at the GGA-PBEsol level of DFT.

## Properties
The formation energy is -10.8 kcal/mol of atoms.

Cell and atoms, written as CIF:
```
data_BaGa3Ru
_chemical_formula_sum 'Ba1 Ga3 Ru1'
_space_group_name_H-M_alt 'P m -3 m'
_space_group_IT_number 221
_space_group_name_Hall '-P 4 2 3'
_cell_length_a 4.796
_cell_length_b 4.796
_cell_length_c 4.796
_cell_angle_alpha 90.00
_cell_angle_beta 90.00
_cell_angle_gamma 90.00
loop_
_atom_site_label
_atom_site_fract_x
_atom_site_fract_y
_atom_site_fract_z
Ba1 0.000 0.000 0.000
Ga1 0.000 0.500 0.500
Ru1 0.500 0.500 0.500
```

[3]
Computed, not measured: a relaxed structure of BaGaS2 at the GGA-PBEsol level of DFT.

## Properties
Its final energy is -0.169 Ha/atom.

Cell and atoms, written as CIF:
```
data_BaGaS2
_chemical_formula_sum 'Ba4 Ga4 S8'
_space_group_name_H-M_alt 'I -4 2 d'
_space_group_IT_number 122
_space_group_name_Hall 'I -4 2bw'
_cell_length_a 6.145
_cell_length_b 6.145
_cell_length_c 13.203
_cell_angle_alpha 90.00
_cell_angle_beta 90.00
_cell_angle_gamma 90.00
loop_
_atom_site_label
_atom_site_fract_x
_atom_site_fract_y
_atom_site_fract_z
Ba1 0.000 0.000 0.000
Ga1 0.000 0.000 0.500
S1 0.166 0.250 0.625
```

[4]
Computed, not measured: a relaxed structure of Ba2GaSbS5 at the GGA-PBEsol level of DFT.

## Properties
Its final energy is -0.187 Ha/atom.

Cell and atoms, written as CIF:
```
data_Ba2GaSbS5
_chemical_formula_sum 'Ba8 Ga4 Sb4 S20'
_space_group_name_H-M_alt 'P n m a'
_space_group_IT_number 62
_cell_length_a 12.053
_cell_length_b 8.788
_cell_length_c 8.905
_cell_angle_alpha 90.00
_cell_angle_beta 90.00
_cell_angle_gamma 90.00
loop_
_space_group_symop_operation_xyz
'x,y,z'
'-x,-y,-z'
'-x+1/2,-y,z+1/2'
'x+1/2,y,-z+1/2'
'x+1/2,-y+1/2,-z+1/2'
'-x+1/2,y+1/2,z+1/2'
'-x,y+1/2,-z'
'x,-y+1/2,z'
loop_
_atom_site_label
_atom_site_fract_x
_atom_site_fract_y
_atom_site_fract_z
Ba1 0.178 0.007 0.121
Ga1 0.093 0.750 0.829
Sb1 0.019 0.750 0.471
S1 0.009 0.250 0.965
S2 0.052 0.548 0.672
S3 0.211 0.750 0.381
S4 0.224 0.250 0.383
```

[5]
Computed, not measured: a relaxed structure of BaGa3Sb at the GGA-PBEsol level of DFT.

## Properties
Its final energy is -0.118 Ha/atom.

Cell and atoms, written as CIF:
```
data_BaGa3Sb
_chemical_formula_sum 'Ba1 Ga3 Sb1'
_space_group_name_H-M_alt 'P m -3 m'
_space_group_IT_number 221
_space_group_name_Hall '-P 4 2 3'
_cell_length_a 5.380
_cell_length_b 5.380
_cell_length_c 5.380
_cell_angle_alpha 90.00
_cell_angle_beta 90.00
_cell_angle_gamma 90.00
loop_
_atom_site_label
_atom_site_fract_x
_atom_site_fract_y
_atom_site_fract_z
Ba1 0.000 0.000 0.000
Ga1 0.000 0.500 0.500
Sb1 0.500 0.500 0.500
```

[6]
Computed, not measured: a relaxed structure of BaGa3Se at the GGA-PBEsol level of DFT.

## Properties
Its final energy is -0.116 Ha/atom.

Cell and atoms, written as CIF:
```
data_BaGa3Se
_chemical_formula_sum 'Ba1 Ga3 Se1'
_space_group_name_H-M_alt 'P m -3 m'
_space_group_IT_number 221
_space_group_name_Hall '-P 4 2 3'
_cell_length_a 5.192
_cell_length_b 5.192
_cell_length_c 5.192
_cell_angle_alpha 90.00
_cell_angle_beta 90.00
_cell_angle_gamma 90.00
loop_
_atom_site_label
_atom_site_fract_x
_atom_site_fract_y
_atom_site_fract_z
Ba1 0.000 0.000 0.000
Ga1 0.000 0.500 0.500
Se1 0.500 0.500 0.500
```

Computed M_tot, in the same sequence as the records: 0.00; 0.00; 0.00; 0.00; 0.00; 0.00 μB/f.u..
Computed DOS at the Fermi energy, in the same sequence as the records: 0.46; 0.56; 0.17; 0.00; 0.60; 1.07 states/eV per atom.